(1)
## Pr2Ni2Cl (PBE-GGA)

Data for a relaxed structure of Pr2Ni2Cl.

Cell: 4.0247 4.0247 8.2259 Å, 90.00 90.00 120.00°
Closest atoms and distances in Å follow each position.
Space group P-6m2 (No. 187)
Unique sites:
1 Pr 0.0000 0.0000 0.2275 (multiplicity 2)  6 Ni 2.98, 3 Cl 3.23
2 Ni 0.3333 0.6667 0.0000 (multiplicity 1)  3 Ni 2.32
3 Ni 0.6667 0.3333 0.0000 (multiplicity 1)  3 Ni 2.32
4 Cl 0.6667 0.3333 0.5000 (multiplicity 1)  6 Pr 3.23

Values from the calculation:
Raw total energy, eV per atom: -5.365

(2)
## Re2HgGe6 (PBE-GGA)

Data for a relaxed structure of Re2HgGe6.

Cell: 7.4429 7.4429 3.2749 Å, 90.00 90.00 120.00°
Closest atoms and distances in Å follow each position.
Space group P-62m (No. 189)
Unique sites:
1 Re 0.3333 0.6667 0.0000 (multiplicity 2)  9 Ge 2.60-2.78
2 Hg 0.0000 0.0000 0.5000 (multiplicity 1)  9 Ge 2.79-3.06
3 Ge 0.0000 0.3032 0.0000 (multiplicity 3)  2 Re 2.60, 2 Ge 2.68, 2 Hg 2.79
4 Ge 0.0000 0.5886 0.5000 (multiplicity 3)  2 Ge 2.68, 4 Re 2.78

Values from the calculation:
Raw total energy, eV per atom: -5.469

(3)
## RbTbHfTe3 (PBE-GGA)

Data for a relaxed structure of RbTbHfTe3.

Cell: 4.4854 16.8298 11.5082 Å, 90.00 90.00 90.00°
Closest atoms and distances in Å follow each position.
Space group Cmcm (No. 63)
Unique sites:
1 Rb 0.0000 0.2488 0.2500 (multiplicity 4)  8 Te 3.72-4.06
2 Tb 0.0000 0.5000 0.0000 (multiplicity 4)  6 Te 3.12-3.14
3 Hf 0.0000 0.0303 0.7500 (multiplicity 4)  4 Te 2.78-2.83
4 Te 0.0000 0.1256 0.5532 (multiplicity 8)  1 Hf 2.78
5 Te 0.0000 0.4279 0.7500 (multiplicity 4)  2 Hf 2.83, 2 Tb 3.12

Values from the calculation:
Raw total energy, eV per atom: -5.143

(4)
## GdUBe (PBE-GGA)

Data for a relaxed structure of GdUBe.

Cell: 6.5593 6.5593 6.5593 Å, 90.00 90.00 90.00°
Closest atoms and distances in Å follow each position.
Space group F-43m (No. 216)
Unique sites:
1 Gd 0.0000 0.0000 0.0000 (multiplicity 4)  4 Be 2.84
2 U 0.0000 0.0000 0.5000 (multiplicity 4)  4 Be 2.84
3 Be 0.2500 0.2500 0.2500 (multiplicity 4)  4 U 2.84, 4 Gd 2.84

Values from the calculation:
Offset from the most stable computed form, meV per atom: 0

no.,V (Å³ per atom),magnetic moment (μB/f.u.)
1,23.1,0.007
2,17.5,0.007
3,36.2,0.309
4,23.5,2.690